# AcPuSnSb | Alexandria via LeMat-Bulk | PBE-GGA | optimized geometry
# Formation energy without anion corrections (eV per atom): -0.486
# Space group: F-43m, No. 216
data_AcPuSnSb
_cell_length_a 5.595
_cell_length_b 5.595
_cell_length_c 5.595
_cell_angle_alpha 60.00
_cell_angle_beta 60.00
_cell_angle_gamma 60.00
_symmetry_space_group_name_H-M 'P 1'
_symmetry_Int_Tables_number 1
loop_
_symmetry_equiv_pos_as_xyz
'x,y,z'
loop_
_atom_site_label
_atom_site_type_symbol
_atom_site_fract_x
_atom_site_fract_y
_atom_site_fract_z
Sn1 Sn 0.750 0.750 0.750
Pu1 Pu 0.000 0.000 0.000
Sb1 Sb 0.250 0.250 0.250
Ac1 Ac 0.500 0.500 0.500

***

# AlTcOs2 | Alexandria via LeMat-Bulk | PBE-GGA | optimized geometry
# ΔE_f (kJ/mol of formula units): 82
# Space group: Cmmm, No. 65
data_AlTcOs2
_cell_length_a 2.729
_cell_length_b 2.729
_cell_length_c 8.672
_cell_angle_alpha 90.00
_cell_angle_beta 90.00
_cell_angle_gamma 115.90
_symmetry_space_group_name_H-M 'P 1'
_symmetry_Int_Tables_number 1
loop_
_symmetry_equiv_pos_as_xyz
'x,y,z'
loop_
_atom_site_label
_atom_site_type_symbol
_atom_site_fract_x
_atom_site_fract_y
_atom_site_fract_z
Os1 Os 0.000 0.000 0.508
Os2 Os 0.000 0.000 0.992
Al1 Al 0.500 0.500 0.750
Tc1 Tc 0.500 0.500 0.250

***

# Na3PbSe | Alexandria via LeMat-Bulk | PBE-GGA | optimized geometry
# Formation energy without anion corrections (eV per atom): 0.209
# Space group: Pm-3m, No. 221
# Energy above the most stable polymorph in this dataset (meV per atom): 559
data_Na3PbSe
_cell_length_a 5.862
_cell_length_b 5.862
_cell_length_c 5.862
_cell_angle_alpha 90.00
_cell_angle_beta 90.00
_cell_angle_gamma 90.00
_symmetry_space_group_name_H-M 'P 1'
_symmetry_Int_Tables_number 1
loop_
_symmetry_equiv_pos_as_xyz
'x,y,z'
loop_
_atom_site_label
_atom_site_type_symbol
_atom_site_fract_x
_atom_site_fract_y
_atom_site_fract_z
Na1 Na 0.000 0.000 0.500
Na2 Na 0.000 0.500 0.000
Na3 Na 0.500 0.000 0.000
Pb1 Pb 0.000 0.000 0.000
Se1 Se 0.500 0.500 0.500

***

# BaMg2Zr2O7 | Alexandria via LeMat-Bulk | PBE-GGA | optimized geometry
# Formation energy without anion corrections (eV per atom): -3.023
# Space group: I4/mmm, No. 139
data_BaMg2Zr2O7
_cell_length_a 4.236
_cell_length_b 4.236
_cell_length_c 9.405
_cell_angle_alpha 103.01
_cell_angle_beta 103.01
_cell_angle_gamma 90.00
_symmetry_space_group_name_H-M 'P 1'
_symmetry_Int_Tables_number 1
loop_
_symmetry_equiv_pos_as_xyz
'x,y,z'
loop_
_atom_site_label
_atom_site_type_symbol
_atom_site_fract_x
_atom_site_fract_y
_atom_site_fract_z
O1 O 0.377 0.877 0.755
O2 O 0.500 0.500 0.000
O3 O 0.877 0.377 0.755
O4 O 0.262 0.262 0.525
O5 O 0.738 0.738 0.475
O6 O 0.623 0.123 0.245
O7 O 0.123 0.623 0.245
Ba1 Ba 0.000 0.000 0.000
Zr1 Zr 0.382 0.382 0.764
Zr2 Zr 0.618 0.618 0.236
Mg1 Mg 0.250 0.750 0.500
Mg2 Mg 0.750 0.250 0.500

***

# Rb2CuC2O7 | Alexandria via LeMat-Bulk | PBE-GGA | optimized geometry
# Formation energy without anion corrections (eV per atom): -1.171
# Space group: P2_1/c, No. 14
data_Rb2CuC2O7
_cell_length_a 14.508
_cell_length_b 6.625
_cell_length_c 8.497
_cell_angle_alpha 88.88
_cell_angle_beta 90.00
_cell_angle_gamma 90.00
_symmetry_space_group_name_H-M 'P 1'
_symmetry_Int_Tables_number 1
loop_
_symmetry_equiv_pos_as_xyz
'x,y,z'
loop_
_atom_site_label
_atom_site_type_symbol
_atom_site_fract_x
_atom_site_fract_y
_atom_site_fract_z
C1 C 0.637 0.233 0.558
C2 C 0.137 0.742 0.065
C3 C 0.363 0.767 0.442
C4 C 0.863 0.733 0.558
C5 C 0.637 0.758 0.935
C6 C 0.137 0.267 0.442
C7 C 0.363 0.242 0.065
C8 C 0.863 0.258 0.935
O1 O 0.890 0.576 0.645
O2 O 0.755 0.518 0.255
O3 O 0.087 0.178 0.540
O4 O 0.849 0.111 0.835
O5 O 0.255 0.982 0.745
O6 O 0.151 0.889 0.165
O7 O 0.072 0.753 0.968
O8 O 0.928 0.247 0.032
O9 O 0.428 0.253 0.968
O10 O 0.390 0.924 0.355
O11 O 0.806 0.415 0.934
O12 O 0.110 0.424 0.355
O13 O 0.723 0.284 0.592
O14 O 0.610 0.076 0.645
O15 O 0.277 0.716 0.408
O16 O 0.694 0.915 0.934
O17 O 0.306 0.085 0.066
O18 O 0.913 0.822 0.460
O19 O 0.587 0.322 0.460
O20 O 0.777 0.784 0.592
O21 O 0.223 0.216 0.408
O22 O 0.651 0.611 0.835
O23 O 0.194 0.585 0.066
O24 O 0.745 0.018 0.255
O25 O 0.572 0.747 0.032
O26 O 0.413 0.678 0.540
O27 O 0.349 0.389 0.165
O28 O 0.245 0.482 0.745
Rb1 Rb 0.613 0.283 0.102
Rb2 Rb 0.103 0.745 0.614
Rb3 Rb 0.113 0.217 0.898
Rb4 Rb 0.603 0.755 0.386
Rb5 Rb 0.387 0.717 0.898
Rb6 Rb 0.397 0.245 0.614
Rb7 Rb 0.897 0.255 0.386
Rb8 Rb 0.887 0.783 0.102
Cu1 Cu 0.271 0.929 0.248
Cu2 Cu 0.729 0.071 0.752
Cu3 Cu 0.771 0.571 0.752
Cu4 Cu 0.229 0.429 0.248

***

# Mg4Nb2B | Alexandria via LeMat-Bulk | PBE-GGA | optimized geometry
# ΔE_f (kJ/mol of formula units): 492
# Space group: I4/mmm, No. 139
data_Mg4Nb2B
_cell_length_a 4.065
_cell_length_b 4.065
_cell_length_c 9.632
_cell_angle_alpha 77.82
_cell_angle_beta 77.82
_cell_angle_gamma 90.00
_symmetry_space_group_name_H-M 'P 1'
_symmetry_Int_Tables_number 1
loop_
_symmetry_equiv_pos_as_xyz
'x,y,z'
loop_
_atom_site_label
_atom_site_type_symbol
_atom_site_fract_x
_atom_site_fract_y
_atom_site_fract_z
Nb1 Nb 0.722 0.722 0.556
Nb2 Nb 0.278 0.278 0.444
Mg1 Mg 0.873 0.873 0.255
Mg2 Mg 0.500 0.000 0.000
Mg3 Mg 0.000 0.500 0.000
Mg4 Mg 0.127 0.127 0.745
B1 B 0.000 0.000 0.000

***

# KGeTe3 | Alexandria via LeMat-Bulk | PBE-GGA | optimized geometry
# Formation energy without anion corrections (eV per atom): -0.115
# Space group: Pm-3m, No. 221
data_KGeTe3
_cell_length_a 5.583
_cell_length_b 5.583
_cell_length_c 5.583
_cell_angle_alpha 90.00
_cell_angle_beta 90.00
_cell_angle_gamma 90.00
_symmetry_space_group_name_H-M 'P 1'
_symmetry_Int_Tables_number 1
loop_
_symmetry_equiv_pos_as_xyz
'x,y,z'
loop_
_atom_site_label
_atom_site_type_symbol
_atom_site_fract_x
_atom_site_fract_y
_atom_site_fract_z
Te1 Te 0.500 0.000 0.000
Te2 Te 0.000 0.500 0.000
Te3 Te 0.000 0.000 0.500
Ge1 Ge 0.000 0.000 0.000
K1 K 0.500 0.500 0.500

***

# TcAsI3 | Alexandria via LeMat-Bulk | PBE-GGA | optimized geometry
# Formation energy without anion corrections (eV per atom): 0.988
# Space group: Pm-3m, No. 221
# Energy above the most stable polymorph in this dataset (meV per atom): 203
data_TcAsI3
_cell_length_a 5.727
_cell_length_b 5.727
_cell_length_c 5.727
_cell_angle_alpha 90.00
_cell_angle_beta 90.00
_cell_angle_gamma 90.00
_symmetry_space_group_name_H-M 'P 1'
_symmetry_Int_Tables_number 1
loop_
_symmetry_equiv_pos_as_xyz
'x,y,z'
loop_
_atom_site_label
_atom_site_type_symbol
_atom_site_fract_x
_atom_site_fract_y
_atom_site_fract_z
I1 I 0.000 0.500 0.000
I2 I 0.500 0.000 0.000
I3 I 0.000 0.000 0.500
Tc1 Tc 0.500 0.500 0.500
As1 As 0.000 0.000 0.000

***

# Sm2Tm3 | Alexandria via LeMat-Bulk | PBE-GGA | optimized geometry
# ΔE_f (kJ/mol of formula units): 3
# Space group: C2/c, No. 15
data_Sm2Tm3
_cell_length_a 6.252
_cell_length_b 6.699
_cell_length_c 9.571
_cell_angle_alpha 65.92
_cell_angle_beta 70.94
_cell_angle_gamma 62.18
_symmetry_space_group_name_H-M 'P 1'
_symmetry_Int_Tables_number 1
loop_
_symmetry_equiv_pos_as_xyz
'x,y,z'
loop_
_atom_site_label
_atom_site_type_symbol
_atom_site_fract_x
_atom_site_fract_y
_atom_site_fract_z
Tm1 Tm 0.368 0.747 0.849
Tm2 Tm 0.835 0.250 0.750
Tm3 Tm 0.036 0.247 0.349
Tm4 Tm 0.165 0.750 0.250
Tm5 Tm 0.632 0.253 0.151
Tm6 Tm 0.964 0.753 0.651
Sm1 Sm 0.430 0.252 0.550
Sm2 Sm 0.768 0.752 0.050
Sm3 Sm 0.232 0.248 0.950
Sm4 Sm 0.570 0.748 0.450

***

# TmTlGe2 | Alexandria via LeMat-Bulk | PBE-GGA | optimized geometry
# ΔE_f (kJ/mol of formula units): -98
# Space group: P4/mmm, No. 123
data_TmTlGe2
_cell_length_a 4.129
_cell_length_b 4.623
_cell_length_c 4.623
_cell_angle_alpha 90.00
_cell_angle_beta 90.00
_cell_angle_gamma 90.00
_symmetry_space_group_name_H-M 'P 1'
_symmetry_Int_Tables_number 1
loop_
_symmetry_equiv_pos_as_xyz
'x,y,z'
loop_
_atom_site_label
_atom_site_type_symbol
_atom_site_fract_x
_atom_site_fract_y
_atom_site_fract_z
Tl1 Tl 0.500 0.500 0.500
Ge1 Ge 0.000 0.000 0.500
Ge2 Ge 0.000 0.500 0.000
Tm1 Tm 0.500 0.000 0.000

***

# Ta3PN | Alexandria via LeMat-Bulk | PBE-GGA | optimized geometry
# Formation energy without anion corrections (eV per atom): -0.238
# Space group: Pm-3m, No. 221
# Energy above the most stable polymorph in this dataset (meV per atom): 0
data_Ta3PN
_cell_length_a 4.191
_cell_length_b 4.191
_cell_length_c 4.191
_cell_angle_alpha 90.00
_cell_angle_beta 90.00
_cell_angle_gamma 90.00
_symmetry_space_group_name_H-M 'P 1'
_symmetry_Int_Tables_number 1
loop_
_symmetry_equiv_pos_as_xyz
'x,y,z'
loop_
_atom_site_label
_atom_site_type_symbol
_atom_site_fract_x
_atom_site_fract_y
_atom_site_fract_z
N1 N 0.000 0.000 0.000
P1 P 0.500 0.500 0.500
Ta1 Ta 0.500 0.000 0.000
Ta2 Ta 0.000 0.000 0.500
Ta3 Ta 0.000 0.500 0.000

***

# SbPdCl6 | Alexandria via LeMat-Bulk | PBE-GGA | optimized geometry
# Formation energy without anion corrections (eV per atom): -0.540
# Space group: P-1, No. 2
data_SbPdCl6
_cell_length_a 6.311
_cell_length_b 6.461
_cell_length_c 6.891
_cell_angle_alpha 60.90
_cell_angle_beta 65.47
_cell_angle_gamma 63.28
_symmetry_space_group_name_H-M 'P 1'
_symmetry_Int_Tables_number 1
loop_
_symmetry_equiv_pos_as_xyz
'x,y,z'
loop_
_atom_site_label
_atom_site_type_symbol
_atom_site_fract_x
_atom_site_fract_y
_atom_site_fract_z
Pd1 Pd 0.000 0.000 0.000
Cl1 Cl 0.912 0.619 0.239
Cl2 Cl 0.235 0.919 0.237
Cl3 Cl 0.378 0.747 0.744
Cl4 Cl 0.765 0.081 0.763
Cl5 Cl 0.622 0.253 0.256
Cl6 Cl 0.088 0.381 0.761
Sb1 Sb 0.500 0.500 0.500